# 1
Crystalline Ba2CeTe3 at its relaxed geometry. Source: the Alexandria database, functional PBE.

Summary:
Space-group type = C2/c (15)
E above lowest polymorph = 107 kJ/mol of formula units
DFT total energy = -4.61 eV/atom
Raw formation energy = -1406.9 meV per atom
N(E_F) = 14.5 states/eV/cell

Cell: 8.199 8.298 8.298 Å, 67.70 84.19 84.19°
Fractional coordinates of all 12 atoms:
Ba (0.694, 0.166, 0.514)
Ba (0.194, 0.514, 0.166)
Ba (0.806, 0.486, 0.834)
Ba (0.306, 0.834, 0.486)
Ce (0.750, 0.924, 0.076)
Ce (0.250, 0.076, 0.924)
Te (0.250, 0.402, 0.598)
Te (0.750, 0.598, 0.402)
Te (0.010, 0.857, 0.803)
Te (0.490, 0.197, 0.143)
Te (0.510, 0.803, 0.857)
Te (0.990, 0.143, 0.197)



# 2
Crystalline BaCeTe2 at its relaxed geometry. Source: the Alexandria database, functional PBE.

Summary:
Space-group type = P-3m1 (164)
E above lowest polymorph = 0 kJ/mol of formula units
DFT total energy = -5.07 eV/atom
Raw formation energy = -1536.9 meV per atom
N(E_F) = 23.8 states/eV/cell

Cell: 4.730 4.730 23.351 Å, 90.00 90.00 120.00°
Fractional coordinates of all 12 atoms:
Ba (0.333, 0.667, 0.683)
Ba (0.667, 0.333, 0.317)
Ba (0.000, 0.000, 0.500)
Ce (0.667, 0.333, 0.855)
Ce (0.333, 0.667, 0.145)
Ce (0.000, 0.000, 0.000)
Te (0.333, 0.667, 0.926)
Te (0.667, 0.333, 0.074)
Te (0.333, 0.667, 0.408)
Te (0.667, 0.333, 0.592)
Te (0.000, 0.000, 0.777)
Te (0.000, 0.000, 0.223)